(1)
Nd6Bi5Pb (PBE, relaxed); VASP energy = -62.0 eV for the cell shown; space-group type = No. 12; formation energy = -0.860 eV/atom
1.0
7.8308 -0.1222 -1.4785
-4.2312 6.5904 -1.4785
0.1532 0.2753 7.9737
Pb Nd Bi
1 6 5
direct
0.0000 0.0000 0.0000
0.4159 0.0827 0.2488
0.9173 0.5841 0.7512
0.2496 0.2496 0.7497
0.7504 0.7504 0.2503
0.0827 0.4159 0.2488
0.5841 0.9173 0.7512
0.8322 0.1678 0.5000
0.6663 0.3337 0.0000
0.5000 0.5000 0.5000
0.3337 0.6663 0.0000
0.1678 0.8322 0.5000

(2)
CaHg3Pd (PBE, relaxed); E above lowest polymorph = 216 meV/atom; VASP energy = -8.9 eV for the cell shown; space-group type = No. 221; formation energy = -0.152 eV/atom
1.0
5.2308 0.0000 0.0000
0.0000 5.2308 0.0000
0.0000 0.0000 5.2308
Ca Hg Pd
1 3 1
direct
0.5000 0.5000 0.5000
0.0000 0.5000 0.0000
0.0000 0.0000 0.5000
0.5000 0.0000 0.0000
0.0000 0.0000 0.0000

(3)
Cr3CdH (PBE, relaxed); VASP energy = -30.9 eV for the cell shown; space-group type = No. 221
1.0
3.8260 0.0000 0.0000
0.0000 3.8260 0.0000
0.0000 0.0000 3.8260
Cr H Cd
3 1 1
direct
0.0000 0.5000 0.0000
0.0000 0.0000 0.5000
0.5000 0.0000 0.0000
0.0000 0.0000 0.0000
0.5000 0.5000 0.5000

(4)
CoTeHN2 (PBE, relaxed); E above lowest polymorph = 815 meV/atom; VASP energy = -20.3 eV for the cell shown; space-group type = No. 123
1.0
3.8483 0.0000 0.0000
0.0000 3.8483 0.0000
0.0000 0.0000 3.5766
H Te Co N
1 1 1 2
direct
0.0000 0.0000 0.0000
0.0000 0.0000 0.5000
0.5000 0.5000 0.5000
0.0000 0.5000 0.0000
0.5000 0.0000 0.0000

(5)
HfGe2S (PBE, relaxed); VASP energy = -46.3 eV for the cell shown; space-group type = No. 122
1.0
-5.4988 -0.4492 5.2078
-2.7049 -6.2235 -3.3928
-2.5397 -4.8437 2.4270
Ge Hf S
4 2 2
direct
0.6212 0.1250 0.2500
0.1288 0.6250 0.2500
0.3750 0.3788 0.7500
0.8750 0.8712 0.7500
0.0000 0.0000 0.0000
0.7500 0.2500 0.5000
0.5000 0.5000 0.0000
0.2500 0.7500 0.5000

(6)
NiOsCl2 (PBE, relaxed); E above lowest polymorph = 585 meV/atom; VASP energy = -17.5 eV for the cell shown; space-group type = No. 166
1.0
7.7705 0.0090 0.0053
7.1973 2.9292 0.0053
7.1973 1.4128 2.5659
Ni Os Cl
1 1 2
direct
0.2500 0.2500 0.2500
0.7500 0.7500 0.7500
0.9900 0.9900 0.9900
0.5100 0.5100 0.5100

(7)
PuTl3Se4 (PBE, relaxed); VASP energy = -40.9 eV for the cell shown; space-group type = No. 65
1.0
-2.2218 3.0062 -2.0011
3.5112 -1.8466 -6.6726
-6.4345 -4.2849 0.7070
Pu Tl Se
1 3 4
direct
0.5000 0.0000 0.0000
0.0000 0.0000 0.5000
0.5000 0.5000 0.5000
0.0000 0.5000 0.0000
0.0000 0.2118 0.2118
0.5000 0.7755 0.2245
0.0000 0.7882 0.7882
0.5000 0.2245 0.7755

(8)
ZnCdRe2 (PBE, relaxed); E above lowest polymorph = 508 meV/atom; VASP energy = -24.4 eV for the cell shown; space-group type = No. 65; formation energy = 0.671 eV/atom
1.0
5.2557 0.0366 0.0000
-2.5361 4.6035 0.0000
0.0000 0.0000 2.6577
Cd Re Zn
1 2 1
direct
0.0000 0.5000 0.5000
0.0000 0.0000 0.0000
0.5000 0.5000 0.0000
0.5000 0.0000 0.5000

(9)
Nd2Dy12Th5 (PBE, relaxed); E above lowest polymorph = 52 meV/atom; VASP energy = -97.8 eV for the cell shown; space-group type = No. 12; formation energy = 0.215 eV/atom
1.0
7.0220 0.0000 0.0000
-3.5110 8.8235 2.9595
0.0000 0.7572 10.2921
Nd Dy Th
2 12 5
direct
0.7175 0.0000 0.0000
0.2825 0.0000 0.0000
0.9672 0.9344 0.2433
0.0885 0.6849 0.8636
0.5964 0.6849 0.8636
0.0836 0.6652 0.5213
0.5816 0.6652 0.5213
0.5018 0.0036 0.6693
0.4982 0.9964 0.3307
0.9164 0.3348 0.4787
0.4184 0.3348 0.4787
0.9115 0.3151 0.1364
0.4036 0.3151 0.1364
0.0328 0.0656 0.7567
0.1879 0.3759 0.8229
0.3202 0.6404 0.2109
0.0000 0.0000 0.5000
0.6798 0.3596 0.7891
0.8121 0.6241 0.1771

(10)
LaPm2SmY2 (PBE, relaxed); VASP energy = -60.9 eV for the cell shown; space-group type = No. 58; formation energy = 0.269 eV/atom
1.0
-1.9025 0.1126 -2.8415
-3.3037 -5.4475 1.9961
-12.1994 10.5445 8.5854
La Pm Sm Y
2 4 2 4
direct
0.0000 0.0000 0.0000
0.5000 0.5000 0.5000
0.5000 0.2788 0.3146
0.0000 0.7788 0.1854
0.5000 0.7212 0.6854
0.0000 0.2212 0.8146
0.5000 0.5000 0.0000
0.0000 0.0000 0.5000
0.5000 0.7822 0.3510
0.5000 0.2178 0.6490
0.0000 0.7178 0.8510
0.0000 0.2822 0.1490

(11)
Na3MoRh3Se8 (PBE, relaxed); VASP energy = -73.2 eV for the cell shown; space-group type = No. 166
1.0
-7.3504 -1.4268 0.9538
3.5152 -2.3286 -6.2602
1.6425 -3.8442 6.9070
Na Mo Rh Se
3 1 3 8
direct
0.0000 0.0000 0.0000
0.0000 0.5000 0.0000
0.5000 0.5000 0.0000
0.0000 0.0000 0.5000
0.5000 0.0000 0.5000
0.5000 0.5000 0.5000
0.0000 0.5000 0.5000
0.2710 0.5419 0.3131
0.7290 0.4581 0.6869
0.7631 0.5262 0.3016
0.2369 0.4738 0.6984
0.7630 0.0383 0.3015
0.2370 0.9617 0.6985
0.2753 0.0383 0.3015
0.7247 0.9617 0.6985